# 1
ZrTl2 PBE optimized geometry; E = -4.005 eV per atom; crystal system = cubic
1.0
0.000 4.194 4.194
4.194 0.000 4.194
4.194 4.194 0.000
Zr Tl
2 4
direct
0.125 0.125 0.125 Zr
0.875 0.875 0.875 Zr
0.000 0.500 0.500 Tl
0.500 0.000 0.500 Tl
0.500 0.500 0.000 Tl
0.500 0.500 0.500 Tl

# 2
HoSe2 PBE optimized geometry; E = -3.975 eV per atom; crystal system = cubic
1.0
0.000 4.118 4.118
4.118 0.000 4.118
4.118 4.118 0.000
Ho Se
2 4
direct
0.125 0.125 0.125 Ho
0.875 0.875 0.875 Ho
0.000 0.500 0.500 Se
0.500 0.000 0.500 Se
0.500 0.500 0.000 Se
0.500 0.500 0.500 Se